Record 1
A geometry-optimized TcPb2Br structure, computed with GGA-PBE.

Computed properties:
Space group: P4/mmm, No. 123
Calculated total energy in eV/atom: -4.38
Polymorph energy (0 for the lowest one) in eV per formula unit: 0.80
Total magnetization in Bohr magnetons per cell: 1.753

abc: 5.5030 5.5030 3.2214
angles: 90.00 90.00 90.00
With the nearest neighbours (Å) after each atom.
Fractional coordinates of all 4 atoms:
Tc: 0.0000 0.0000 0.0000  8 Pb 3.19, 2 Tc 3.22
Pb: 0.0000 0.5000 0.5000  4 Br 3.19, 4 Tc 3.19, 2 Pb 3.22
Pb: 0.5000 0.0000 0.5000  4 Br 3.19, 4 Tc 3.19, 2 Pb 3.22
Br: 0.5000 0.5000 0.0000  8 Pb 3.19, 2 Br 3.22

Record 2
A geometry-optimized Sc2Si2NiIr5 structure, computed with GGA-PBE.

Computed properties:
Space group: P4/mbm, No. 127
Calculated total energy in eV/atom: -8.08
Total magnetization in Bohr magnetons per cell: 1.387

abc: 9.3054 9.3054 3.4902
angles: 90.00 90.00 90.00
With the nearest neighbours (Å) after each atom.
Fractional coordinates of all 20 atoms:
Sc: 0.1727 0.3273 0.0000  3 Si 2.61-2.84, 2 Ir 2.87
Sc: 0.3273 0.8273 0.0000  3 Si 2.61-2.84, 2 Ir 2.87
Sc: 0.6727 0.1727 0.0000  3 Si 2.61-2.84, 2 Ir 2.87
Sc: 0.8273 0.6727 0.0000  3 Si 2.61-2.84, 2 Ir 2.87
Si: 0.1289 0.6289 0.0000  6 Ir 2.41-2.43, 1 Sc 2.61
Si: 0.3711 0.1289 0.0000  6 Ir 2.41-2.43, 1 Sc 2.61
Si: 0.6289 0.8711 0.0000  6 Ir 2.41-2.43, 1 Sc 2.61
Si: 0.8711 0.3711 0.0000  6 Ir 2.41-2.43, 1 Sc 2.61
Ni: 0.0000 0.0000 0.0000  8 Ir 2.65
Ni: 0.5000 0.5000 0.0000  8 Ir 2.65
Ir: 0.0000 0.5000 0.5000  4 Si 2.43
Ir: 0.0681 0.7967 0.5000  2 Si 2.41, 2 Ni 2.65
Ir: 0.2033 0.0681 0.5000  2 Si 2.41, 2 Ni 2.65
Ir: 0.2967 0.5681 0.5000  2 Si 2.41, 2 Ni 2.65
Ir: 0.4319 0.2967 0.5000  2 Si 2.41, 2 Ni 2.65
Ir: 0.5000 0.0000 0.5000  4 Si 2.43
Ir: 0.5681 0.7033 0.5000  2 Si 2.41, 2 Ni 2.65
Ir: 0.7033 0.4319 0.5000  2 Si 2.41, 2 Ni 2.65
Ir: 0.7967 0.9319 0.5000  2 Si 2.41, 2 Ni 2.65
Ir: 0.9319 0.2033 0.5000  2 Si 2.41, 2 Ni 2.65

Record 3
A geometry-optimized LiTlNi structure, computed with GGA-PBE.

Computed properties:
Space group: C2/m, No. 12
Calculated total energy in eV/atom: -3.27
Polymorph energy (0 for the lowest one) in eV per formula unit: 0.12
Total magnetization in Bohr magnetons per cell: 0.000

abc: 4.7083 4.7083 6.8494
angles: 102.82 102.82 45.24
With the nearest neighbours (Å) after each atom.
Fractional coordinates of all 6 atoms:
Li: 0.0832 0.0832 0.1849  5 Ni 2.54-2.74, 1 Li 2.60, 3 Tl 2.70-2.82
Li: 0.9168 0.9168 0.8151  5 Ni 2.54-2.74, 1 Li 2.60, 3 Tl 2.70-2.82
Tl: 0.1707 0.1707 0.6532  3 Li 2.70-2.82, 3 Ni 2.76-2.80
Tl: 0.8293 0.8293 0.3468  3 Li 2.70-2.82, 3 Ni 2.76-2.80
Ni: 0.3525 0.3525 0.0436  3 Ni 2.51-2.77, 5 Li 2.54-2.74, 3 Tl 2.76-2.80
Ni: 0.6475 0.6475 0.9564  3 Ni 2.51-2.77, 5 Li 2.54-2.74, 3 Tl 2.76-2.80

Record 4
A geometry-optimized LiAg2AsSe4 structure, computed with GGA-PBE.

Computed properties:
Space group: I-4, No. 82
Calculated total energy in eV/atom: -3.56
Total magnetization in Bohr magnetons per cell: 0.000

abc: 7.1402 7.1402 7.1402
angles: 130.20 130.20 73.09
With the nearest neighbours (Å) after each atom.
Fractional coordinates of all 8 atoms:
Li: 0.0000 0.0000 0.0000  4 Se 2.54
Ag: 0.2500 0.7500 0.5000  4 Se 2.70
Ag: 0.5000 0.5000 0.0000  4 Se 2.63
As: 0.7500 0.2500 0.5000  4 Se 2.40
Se: 0.0942 0.1378 0.4874  1 As 2.40, 1 Li 2.54, 1 Ag 2.63
Se: 0.3932 0.9058 0.0436  1 As 2.40, 1 Li 2.54, 1 Ag 2.63
Se: 0.6504 0.6068 0.5126  1 As 2.40, 1 Li 2.54, 1 Ag 2.63
Se: 0.8622 0.3496 0.9564  1 As 2.40, 1 Li 2.54, 1 Ag 2.63